one.
First-principles (GGA-PBE) data for an optimized crystal structure of LaTmSc2, as listed in Alexandria.

The structure belongs to space group Fm-3m (No. 225); the cell edges are 7.7326, 7.7326 and 7.7326 Å and the angles 90.00°, 90.00° and 90.00°. The inequivalent atoms are La at (0.0000, 0.0000, 0.0000), Tm at (0.0000, 0.0000, 0.5000) and Sc at (0.2500, 0.2500, 0.2500).

***

two.
First-principles (GGA-PBE) data for an optimized crystal structure of LaTmSc2, as listed in Alexandria.

The structure belongs to space group R-3m (No. 166, hexagonal axes); the cell edges are 3.4554, 3.4554 and 33.0487 Å and the angles 90.00°, 90.00° and 120.00°. The inequivalent atoms are La at (0.0000, 0.0000, 0.0000), Tm at (0.0000, 0.0000, 0.5000) and Sc at (0.0000, 0.0000, 0.2482).

***

Each structure's energy above the most stable one, in meV/atom: one 6; two 0.